Entry 1:
MnInCl2, optimized geometry, DFT PBEsol; VASP energy = -0.150 hartree per atom; energy above the lowest structure with this stoichiometry = 0.481 eV per atom; space-group type = F-43m (216); E_form (uncorrected) = 0.113 eV per atom; total magnetic moment = 5.484 μB per cell; mass density = 4.57 g/cm³
1.0
0.0000 3.5235 3.5235
3.5235 0.0000 3.5235
3.5235 3.5235 0.0000
Mn In Cl
1 1 2
Cartesian
0.0000 0.0000 0.0000
1.7617 1.7617 1.7617
3.5235 3.5235 3.5235
5.2852 5.2852 5.2852


Entry 2:
MnInCl2, optimized geometry, DFT PBEsol; VASP energy = -0.157 hartree per atom; energy above the lowest structure with this stoichiometry = 0.295 eV per atom; space-group type = Fm-3m (225); E_form (uncorrected) = -0.074 eV per atom; total magnetic moment = 4.766 μB per cell; mass density = 4.66 g/cm³
1.0
0.0000 3.5002 3.5002
3.5002 0.0000 3.5002
3.5002 3.5002 0.0000
Mn In Cl
1 1 2
Cartesian
0.0000 0.0000 0.0000
3.5002 3.5002 3.5002
1.7501 1.7501 1.7501
5.2503 5.2503 5.2503


Entry 3:
Mn3InCl, optimized geometry, DFT PBEsol; VASP energy = -0.229 hartree per atom; space-group type = Pm-3m (221); E_form (uncorrected) = 0.611 eV per atom; total magnetic moment = 5.128 μB per cell; mass density = 7.39 g/cm³
1.0
4.1373 0.0000 0.0000
0.0000 4.1373 0.0000
0.0000 0.0000 4.1373
Mn In Cl
3 1 1
Cartesian
0.0000 0.0000 2.0687
0.0000 2.0687 0.0000
2.0687 0.0000 0.0000
2.0687 2.0687 2.0687
0.0000 0.0000 0.0000


Entry 4:
MnInCl2, optimized geometry, DFT PBEsol; VASP energy = -0.168 hartree per atom; energy above the lowest structure with this stoichiometry = 0.000 eV per atom; space-group type = Cmm2 (35); E_form (uncorrected) = -0.369 eV per atom; total magnetic moment = 4.524 μB per cell; mass density = 4.38 g/cm³
1.0
1.8556 -2.8624 0.0000
1.8556 2.8624 0.0000
0.0000 0.0000 8.5894
Mn In Cl
1 1 2
Cartesian
0.0000 0.0000 0.0000
1.8556 0.0000 2.1183
0.0000 0.0000 3.9754
1.8556 0.0000 7.1268


Entry 5:
Mn2InPtCl, optimized geometry, DFT PBEsol; VASP energy = -0.177 hartree per atom; space-group type = P4/mmm (123); E_form (uncorrected) = 1.478 eV per atom; total magnetic moment = 8.301 μB per cell; mass density = 6.10 g/cm³
1.0
5.0472 0.0000 0.0000
0.0000 5.0472 0.0000
0.0000 0.0000 4.8634
Mn In Pt Cl
2 1 1 1
Cartesian
0.0000 2.5236 0.0000
2.5236 0.0000 0.0000
0.0000 0.0000 0.0000
2.5236 2.5236 2.4317
0.0000 0.0000 2.4317


Entry 6:
MnInSCl2, optimized geometry, DFT PBEsol; VASP energy = -0.155 hartree per atom; space-group type = P4/mmm (123); E_form (uncorrected) = 0.019 eV per atom; total magnetic moment = 5.688 μB per cell; mass density = 3.57 g/cm³
1.0
5.0379 0.0000 0.0000
0.0000 5.0379 0.0000
0.0000 0.0000 5.0038
Mn In S Cl
1 1 1 2
Cartesian
0.0000 0.0000 0.0000
2.5190 2.5190 2.5019
2.5190 2.5190 0.0000
0.0000 2.5190 2.5019
2.5190 0.0000 2.5019


Question: Number 4 is which compound?
Answer: MnInCl2


Copy entry 3 word for word.
Mn3InCl, optimized geometry, DFT PBEsol; VASP energy = -0.229 hartree per atom; space-group type = Pm-3m (221); E_form (uncorrected) = 0.611 eV per atom; total magnetic moment = 5.128 μB per cell; mass density = 7.39 g/cm³
1.0
4.1373 0.0000 0.0000
0.0000 4.1373 0.0000
0.0000 0.0000 4.1373
Mn In Cl
3 1 1
Cartesian
0.0000 0.0000 2.0687
0.0000 2.0687 0.0000
2.0687 0.0000 0.0000
2.0687 2.0687 2.0687
0.0000 0.0000 0.0000


Question: Number 3 is which compound?
Answer: Mn3InCl


Question: Look up the VASP energy of the second one.
Answer: -0.157 hartree per atom